Tl3In4Hg2: relaxed, GGA-PBE.

Calculated values
Total moment = 0.0 Bohr magnetons per cell
Mass density = 9.612 g/cm³
Uncorrected energy = -18.594 eV per cell
ΔE_f = 0.01 eV/atom
Symmetry = No. 12

Unit cell a=6.321 b=6.321 c=9.867 alpha=121.05 beta=121.05 gamma=52.04
Element x y z (fractional)
Tl 0.000 0.000 0.000
Tl 0.003 0.003 0.668
Tl 0.997 0.997 0.332
In 0.331 0.331 0.391
In 0.336 0.336 0.056
In 0.664 0.664 0.944
In 0.669 0.669 0.609
Hg 0.332 0.332 0.722
Hg 0.668 0.668 0.278